This record from Alexandria via LeMat-Bulk describes a geometry-optimized KGaSe2 structure. The functional is PBEsol.

Geometry as POSCAR:
```
KGaSe2
1.0
3.8364 0.0000 0.0000
-1.9182 3.3224 0.0000
0.0000 0.0000 26.3946
K Ga Se
3 3 6
Cartesian
0.0000 0.0000 0.0000
0.0000 2.2150 17.5964
1.9182 1.1075 8.7982
0.0000 0.0000 13.1973
0.0000 2.2150 4.3991
1.9182 1.1075 21.9955
0.0000 0.0000 3.0046
0.0000 0.0000 23.3900
0.0000 2.2150 14.5918
0.0000 2.2150 20.6009
1.9182 1.1075 5.7936
1.9182 1.1075 11.8028
```

Computed properties:
Size of the total moment ... 0.00 μB/f.u.
Final energy ... -3.5339 eV per atom
Raw formation energy ... -0.49 eV per atom

---

This record from Alexandria via LeMat-Bulk describes a geometry-optimized K3GaSi structure. The functional is PBEsol.

Geometry as POSCAR:
```
K3GaSi
1.0
6.3227 0.0000 0.0000
0.0000 6.3227 0.0000
0.0000 0.0000 6.3227
K Ga Si
3 1 1
Cartesian
0.0000 0.0000 3.1614
0.0000 3.1614 0.0000
3.1614 0.0000 0.0000
0.0000 0.0000 0.0000
3.1614 3.1614 3.1614
```

Computed properties:
Size of the total moment ... 0.06 μB/f.u.
Final energy ... -1.7399 eV per atom
Raw formation energy ... 0.76 eV per atom

---

This record from Alexandria via LeMat-Bulk describes a geometry-optimized KGa2Si2 structure. The functional is PBEsol.

Geometry as POSCAR:
```
KGa2Si2
1.0
4.5389 0.0000 0.0000
0.0000 4.5389 0.0000
0.0000 0.0000 9.7802
K Ga Si
2 4 4
Cartesian
0.0000 0.0000 0.0000
2.2694 2.2694 4.8901
0.0000 2.2694 2.4450
0.0000 2.2694 7.3351
2.2694 0.0000 2.4450
2.2694 0.0000 7.3351
0.0000 0.0000 3.6834
0.0000 0.0000 6.0968
2.2694 2.2694 1.2067
2.2694 2.2694 8.5735
```

Computed properties:
Size of the total moment ... 0.00 μB/f.u.
Final energy ... -3.9351 eV per atom
Raw formation energy ... -0.07 eV per atom

---

This record from Alexandria via LeMat-Bulk describes a geometry-optimized KTa3Ga structure. The functional is PBEsol.

Geometry as POSCAR:
```
KTa3Ga
1.0
4.8835 0.0000 0.0000
0.0000 4.8835 0.0000
0.0000 0.0000 4.8835
K Ta Ga
1 3 1
Cartesian
0.0000 0.0000 0.0000
0.0000 2.4417 2.4417
2.4417 0.0000 2.4417
2.4417 2.4417 0.0000
2.4417 2.4417 2.4417
```

Computed properties:
Size of the total moment ... 0.00 μB/f.u.
Final energy ... -6.6874 eV per atom
Formation energy ... 1.74 eV per atom

---

This record from Alexandria via LeMat-Bulk describes a geometry-optimized KGaTe2 structure. The functional is PBEsol.

Geometry as POSCAR:
```
KGaTe2
1.0
5.8814 -5.8619 0.0000
5.8814 5.8619 0.0000
-3.6555 0.0000 16.1284
K Ga Te
8 8 16
Cartesian
3.2176 3.5152 9.7513
0.1111 0.6843 14.2089
3.0620 3.5152 14.4413
1.9388 -0.6843 6.1447
6.1685 0.6843 9.9837
5.0453 -3.5152 1.6871
7.9963 -0.6843 1.9195
4.8897 -3.5152 6.3771
3.5499 3.8824 5.5015
6.3852 3.8824 2.5627
3.4651 0.9492 2.6750
1.6374 -0.9492 10.7391
6.4699 0.9492 5.3892
4.6422 -0.9492 13.4534
1.7222 -3.8824 13.5657
4.5574 -3.8824 10.6269
4.9675 5.5160 4.0321
1.8685 2.3616 4.2128
0.0402 0.3352 9.0832
4.6970 2.5802 1.0296
1.8679 -0.3352 1.0190
5.2381 2.5802 7.0346
3.1398 0.7108 12.0963
0.0407 -2.3616 12.2769
8.0666 2.3616 3.8514
4.9675 -0.7108 4.0321
2.8693 -2.5802 9.0938
6.2394 0.3352 15.1093
3.4103 -2.5802 15.0988
8.0671 -0.3352 7.0452
6.2389 -2.3616 11.9156
3.1398 -5.5160 12.0963
```

Computed properties:
Size of the total moment ... 0.00 μB/f.u.
Final energy ... -3.5398 eV per atom
Raw formation energy ... -0.66 eV per atom

---

This record from Alexandria via LeMat-Bulk describes a geometry-optimized K3GaTe3 structure. The functional is PBEsol.

Geometry as POSCAR:
```
K3GaTe3
1.0
8.5510 0.0000 0.0000
0.0000 13.6275 0.0000
-6.7037 0.0000 8.8469
K Ga Te
12 4 12
Cartesian
-1.6958 2.5590 3.6745
-5.0477 4.2548 8.0979
2.1651 8.1773 0.8774
-1.1868 12.2640 5.3009
-0.4553 8.3154 4.6317
2.8965 12.1259 0.2083
-1.0491 1.5017 8.6385
2.3027 5.3121 4.2151
3.0341 1.3635 3.5460
-0.3177 5.4502 7.9694
6.8951 9.3727 0.7490
3.5432 11.0686 5.1724
-3.9139 7.7258 5.8916
-0.5621 12.7155 1.4682
2.4095 0.9120 7.3787
5.7613 5.9017 2.9552
-3.7256 0.7978 6.4479
-0.3738 6.0159 2.0245
0.5607 1.4820 1.1766
-2.7911 5.3317 5.6000
-2.4354 9.4317 7.1981
0.9164 11.0096 2.7747
0.9310 2.6180 6.0721
4.2828 4.1958 1.6487
4.6385 8.2958 3.2468
1.2867 12.1455 7.6703
2.2212 7.6116 6.8224
5.5730 12.8297 2.3989
```

Computed properties:
Size of the total moment ... 0.00 μB/f.u.
Final energy ... -3.3181 eV per atom
Raw formation energy ... -0.84 eV per atom

---

This record from Alexandria via LeMat-Bulk describes a geometry-optimized KGaTe2 structure. The functional is PBEsol.

Geometry as POSCAR:
```
KGaTe2
1.0
7.8526 0.0000 0.0000
0.0000 7.8526 0.0000
0.0000 0.0000 9.1072
K Ga Te
4 4 8
Cartesian
0.0000 0.0000 0.0000
0.0000 3.9263 2.2768
3.9263 0.0000 6.8304
3.9263 3.9263 4.5536
0.0000 0.0000 4.5536
0.0000 3.9263 6.8304
3.9263 0.0000 2.2768
3.9263 3.9263 0.0000
1.3040 5.8894 5.6920
1.9631 1.3040 3.4152
1.9631 2.6223 7.9688
2.6223 5.8894 1.1384
5.2303 1.9631 1.1384
5.8894 5.2303 7.9688
5.8894 6.5486 3.4152
6.5486 1.9631 5.6920
```

Computed properties:
Size of the total moment ... 0.00 μB/f.u.
Final energy ... -3.5069 eV per atom
Raw formation energy ... -0.63 eV per atom

---

This record from Alexandria via LeMat-Bulk describes a geometry-optimized KTl2Ga2 structure. The functional is PBEsol.

Geometry as POSCAR:
```
KTl2Ga2
1.0
4.8689 0.0000 0.0000
0.0000 4.8689 0.0000
0.0000 0.0000 11.3537
K Tl Ga
2 4 4
Cartesian
0.0000 0.0000 0.0000
2.4345 2.4345 5.6769
0.0000 2.4345 2.8384
0.0000 2.4345 8.5153
2.4345 0.0000 2.8384
2.4345 0.0000 8.5153
0.0000 0.0000 4.4212
0.0000 0.0000 6.9325
2.4345 2.4345 1.2557
2.4345 2.4345 10.0980
```

Computed properties:
Size of the total moment ... 0.00 μB/f.u.
Final energy ... -2.6924 eV per atom
Formation energy ... -0.08 eV per atom

---

This record from Alexandria via LeMat-Bulk describes a geometry-optimized K3ZnGa structure. The functional is PBEsol.

Geometry as POSCAR:
```
K3ZnGa
1.0
6.4083 0.0000 0.0000
0.0000 6.4083 0.0000
0.0000 0.0000 6.4083
K Zn Ga
3 1 1
Cartesian
0.0000 0.0000 3.2042
0.0000 3.2042 0.0000
3.2042 0.0000 0.0000
3.2042 3.2042 3.2042
0.0000 0.0000 0.0000
```

Computed properties:
Size of the total moment ... 0.00 μB/f.u.
Final energy ... -1.2384 eV per atom
Formation energy ... 0.43 eV per atom

---

This record from Alexandria via LeMat-Bulk describes a geometry-optimized KZnGa3 structure. The functional is PBEsol.

Geometry as POSCAR:
```
KZnGa3
1.0
5.6008 0.0000 0.0000
0.0000 5.6008 0.0000
0.0000 0.0000 5.6008
K Zn Ga
1 1 3
Cartesian
0.0000 0.0000 0.0000
2.8004 2.8004 2.8004
0.0000 0.0000 2.8004
0.0000 2.8004 0.0000
2.8004 0.0000 0.0000
```

Computed properties:
Size of the total moment ... 0.00 μB/f.u.
Final energy ... -1.2414 eV per atom
Formation energy ... 1.31 eV per atom

---

This record from Alexandria via LeMat-Bulk describes a geometry-optimized LaGa structure. The functional is PBEsol.

Geometry as POSCAR:
```
LaGa
1.0
4.4543 0.0000 0.0000
0.0000 11.3885 0.0000
0.0000 0.0000 4.1648
La Ga
4 4
Cartesian
0.0000 1.6466 1.0412
0.0000 9.7418 3.1236
2.2272 4.0476 3.1236
2.2272 7.3409 1.0412
0.0000 4.9387 1.0412
0.0000 6.4498 3.1236
2.2272 0.7555 3.1236
2.2272 10.6330 1.0412
```

Computed properties:
Size of the total moment ... 0.00 μB/f.u.
Final energy ... -4.9378 eV per atom
Formation energy ... -0.59 eV per atom

---

This record from Alexandria via LeMat-Bulk describes a geometry-optimized La5Ga3 structure. The functional is PBEsol.

Geometry as POSCAR:
```
La5Ga3
1.0
7.9098 0.0000 0.0000
0.0000 7.9098 0.0000
0.0000 0.0000 14.3828
La Ga
20 12
Cartesian
0.5121 4.6448 1.4566
0.5121 7.2199 8.6480
0.6899 4.4669 5.7348
0.6899 7.3977 12.9262
1.9774 1.9774 3.0837
1.9774 1.9774 10.2751
3.2650 4.4669 12.9262
3.2650 7.3977 5.7348
3.4428 4.6448 8.6480
3.4428 7.2199 1.4566
4.4669 0.6899 12.9262
4.4669 3.2650 5.7348
4.6448 0.5121 8.6480
4.6448 3.4428 1.4566
5.9323 5.9323 4.1077
5.9323 5.9323 11.2991
7.2199 0.5121 1.4566
7.2199 3.4428 8.6480
7.3977 0.6899 5.7348
7.3977 3.2650 12.9262
1.0503 5.0052 10.7871
1.0503 6.8595 3.5957
1.9774 1.9774 0.0192
1.9774 1.9774 7.2106
2.9046 5.0052 3.5957
2.9046 6.8595 10.7871
5.0052 1.0503 3.5957
5.0052 2.9046 10.7871
5.9323 5.9323 7.1722
5.9323 5.9323 14.3635
6.8595 1.0503 10.7871
6.8595 2.9046 3.5957
```

Computed properties:
Size of the total moment ... 0.00 μB/f.u.
Final energy ... -5.0666 eV per atom
Formation energy ... -0.47 eV per atom

---

What is the final energy in the ninth record? -1.2384 eV per atom